Entry 1:
{
  "formula": "LiAlCl3",
  "functional": "GGA-PBE",
  "state": "optimized geometry",
  "e_above_lowest_polymorph_ev_per_atom": 0.000,
  "n_ef_per_ev_cell": 0.851,
  "formation_energy_uncorrected_ev_per_atom": -1.07,
  "lattice": [[4.997, 0.000, 0.000], [0.000, 4.997, 0.000], [0.000, 0.000, 4.997]],
  "species": ["Li", "Al", "Cl", "Cl", "Cl"],
  "frac_coords": [[0.500, 0.500, 0.500], [0.000, 0.000, 0.000], [0.000, 0.500, 0.000], [0.000, 0.000, 0.500], [0.500, 0.000, 0.000]]
}

***

Entry 2:
{
  "formula": "LuNi4B",
  "functional": "GGA-PBE",
  "state": "optimized geometry",
  "dft_energy_ev_per_atom": -6.236,
  "n_ef_per_ev_cell": 5.190,
  "lattice": [[4.929, 0.000, 0.000], [-2.465, 4.269, 0.000], [0.000, 0.000, 6.934]],
  "species": ["Ni", "Ni", "Ni", "Ni", "Ni", "Ni", "Ni", "Ni", "B", "B", "Lu", "Lu"],
  "frac_coords": [[0.667, 0.333, 0.000], [0.333, 0.667, 0.000], [0.500, 0.500, 0.708], [0.500, 0.000, 0.708], [0.000, 0.500, 0.708], [0.500, 0.500, 0.292], [0.500, 0.000, 0.292], [0.000, 0.500, 0.292], [0.333, 0.667, 0.500], [0.667, 0.333, 0.500], [0.000, 0.000, 0.500], [0.000, 0.000, 0.000]]
}

***

Entry 3:
{
  "formula": "MgCdIn3Sn",
  "functional": "GGA-PBE",
  "state": "optimized geometry",
  "dft_energy_ev_per_atom": -2.457,
  "n_ef_per_ev_cell": 4.590,
  "lattice": [[4.658, 0.000, 0.000], [0.000, 7.125, -0.730], [0.000, -2.761, 9.492]],
  "species": ["Mg", "Mg", "Cd", "Cd", "In", "In", "In", "In", "In", "In", "Sn", "Sn"],
  "frac_coords": [[0.250, 0.122, 0.627], [0.750, 0.878, 0.373], [0.250, 0.137, 0.311], [0.750, 0.863, 0.689], [0.750, 0.872, 0.038], [0.250, 0.128, 0.962], [0.250, 0.642, 0.469], [0.750, 0.358, 0.531], [0.750, 0.375, 0.204], [0.250, 0.625, 0.796], [0.250, 0.654, 0.147], [0.750, 0.346, 0.853]]
}

***

Entry 4:
{
  "formula": "BC7",
  "functional": "GGA-PBE",
  "state": "optimized geometry",
  "e_above_lowest_polymorph_ev_per_atom": 0.023,
  "n_ef_per_ev_cell": 0.870,
  "lattice": [[4.389, 0.022, -0.730], [3.649, 2.439, -0.730], [0.015, 0.004, 4.468]],
  "species": ["B", "C", "C", "C", "C", "C", "C", "C"],
  "frac_coords": [[0.747, 0.747, 0.242], [0.556, 0.556, 0.185], [0.501, 0.501, 0.503], [0.319, 0.319, 0.455], [0.252, 0.252, 0.749], [0.065, 0.065, 0.689], [0.998, 0.998, 0.998], [0.813, 0.813, 0.929]]
}

***

Entry 5:
{
  "formula": "Rb2ErAuCl6",
  "functional": "GGA-PBE",
  "state": "optimized geometry",
  "e_above_lowest_polymorph_ev_per_atom": 0.000,
  "n_ef_per_ev_cell": 0.000,
  "formation_energy_uncorrected_ev_per_atom": -1.71,
  "lattice": [[-1.444, -0.800, -6.503], [6.294, -3.393, -0.980], [-5.696, -12.014, 5.017]],
  "species": ["Rb", "Rb", "Rb", "Rb", "Er", "Er", "Au", "Au", "Cl", "Cl", "Cl", "Cl", "Cl", "Cl", "Cl", "Cl", "Cl", "Cl", "Cl", "Cl"],
  "frac_coords": [[0.983, 0.965, 0.206], [0.483, 0.535, 0.706], [0.017, 0.035, 0.794], [0.517, 0.465, 0.294], [0.500, 0.000, 0.500], [0.000, 0.500, 0.000], [0.500, 0.000, 0.000], [0.000, 0.500, 0.500], [0.274, 0.680, 0.111], [0.774, 0.820, 0.611], [0.726, 0.320, 0.889], [0.226, 0.180, 0.389], [0.275, 0.678, 0.470], [0.775, 0.822, 0.970], [0.725, 0.322, 0.530], [0.225, 0.178, 0.030], [0.849, 0.405, 0.150], [0.349, 0.095, 0.650], [0.151, 0.595, 0.850], [0.651, 0.905, 0.350]]
}

***

Entry 6:
{
  "formula": "Li4CdPd2",
  "functional": "GGA-PBE",
  "state": "optimized geometry",
  "e_above_lowest_polymorph_ev_per_atom": 0.000,
  "n_ef_per_ev_cell": 2.223,
  "lattice": [[4.847, -0.602, 0.343], [-2.935, 3.876, 0.754], [0.623, 2.043, 7.151]],
  "species": ["Li", "Li", "Li", "Li", "Cd", "Pd", "Pd"],
  "frac_coords": [[0.893, 0.742, 0.183], [0.107, 0.258, 0.817], [0.531, 0.101, 0.684], [0.469, 0.899, 0.316], [0.000, 0.000, 0.500], [0.722, 0.443, 0.917], [0.278, 0.557, 0.083]]
}